ZnBiWF2 PBE+U optimized geometry; M_tot = 2.90 μB per cell; DOS at the Fermi energy = 0.207 states/eV per atom; raw total energy = -4.30 eV per atom
1.0
-0.642 -4.116 0.659
3.410 0.285 5.101
-3.449 0.898 2.255
W Bi F Zn
1 1 2 1
Cartesian
0.000 0.000 0.000
1.705 0.142 2.551
-0.321 -2.058 0.329
-1.724 0.449 1.128
-0.340 -1.467 4.008